1.
Below is TbCuNi2 after structural relaxation, with properties calculated at the PBE-GGA level.

Calculated values
Total magnetic moment: 0.000 μB per formula unit
E_form: -2.31 kcal/mol of atoms
Crystal system: orthorhombic
Raw total energy: -5.17 eV/atom

Cell lengths 5.127, 4.694, 11.392 Å; angles 90.00, 90.00, 90.00 degrees
Atoms (fractional coordinates):
Tb1 0.250 0.000 0.105
Tb2 0.250 0.500 0.393
Tb3 0.750 0.000 0.895
Tb4 0.750 0.500 0.607
Cu1 0.250 0.000 0.832
Cu2 0.250 0.500 0.824
Cu3 0.750 0.000 0.168
Cu4 0.750 0.500 0.176
Ni1 0.000 0.000 0.500
Ni2 0.000 0.500 0.000
Ni3 0.250 0.249 0.643
Ni4 0.250 0.751 0.643
Ni5 0.500 0.000 0.500
Ni6 0.500 0.500 0.000
Ni7 0.750 0.249 0.357
Ni8 0.750 0.751 0.357



2.
Below is TbCu7Ni5 after structural relaxation, with properties calculated at the PBE-GGA level.

Calculated values
Total magnetic moment: 0.001 μB per formula unit
E_form: -2.81 kcal/mol of atoms
Crystal system: orthorhombic
Raw total energy: -4.91 eV/atom

Cell lengths 6.357, 6.357, 6.357 Å; angles 135.60, 98.21, 98.20 degrees
Atoms (fractional coordinates):
Tb1 0.000 0.000 0.000
Cu1 0.217 0.496 0.721
Cu2 0.347 0.994 0.352
Cu3 0.348 0.348 0.000
Cu4 0.642 0.994 0.648
Cu5 0.647 0.647 0.000
Cu6 0.773 0.273 0.500
Cu7 0.774 0.496 0.279
Ni1 0.218 0.718 0.500
Ni2 0.493 0.495 0.498
Ni3 0.493 0.996 0.998
Ni4 0.997 0.495 0.002
Ni5 0.997 0.996 0.502